A plane-wave DFT calculation with PBE was carried out for a relaxed structure of Pr2AuBr.

```
Pr2AuBr
1.0
4.355 0.000 0.000
2.177 3.771 0.000
2.177 1.257 7.355
Pr Au Br
2 1 1
Direct
0.258 0.258 0.227 Pr
0.742 0.742 0.773 Pr
0.000 0.000 0.000 Au
0.500 0.500 0.500 Br
```

Computed properties:
formation energy (no corrections): -964 meV/atom
total magnetic moment: 0.00 μB per formula unit

---

A plane-wave DFT calculation with PBE was carried out for a relaxed structure of Pr4PtAuBr2.

```
Pr4PtAuBr2
1.0
-0.539 -4.128 -1.029
-0.866 -1.846 7.860
-7.224 0.525 1.677
Pr Pt Au Br
4 1 1 2
Direct
0.000 0.706 0.770 Pr
0.000 0.294 0.230 Pr
0.500 0.710 0.251 Pr
0.500 0.290 0.749 Pr
0.500 0.500 0.000 Pt
0.000 0.500 0.500 Au
0.000 0.000 0.000 Br
0.500 0.000 0.500 Br
```

Computed properties:
formation energy (no corrections): -1097 meV/atom
total magnetic moment: 0.00 μB per formula unit

---

A plane-wave DFT calculation with PBE was carried out for a relaxed structure of Pr8Pt3AuBr4.

```
Pr8Pt3AuBr4
1.0
-1.152 -7.474 4.030
7.365 1.700 5.258
-6.274 5.834 -0.084
Pr Pt Au Br
8 3 1 4
Direct
0.238 0.702 0.964 Pr
0.238 0.702 0.477 Pr
0.266 0.299 0.533 Pr
0.726 0.702 0.964 Pr
0.274 0.298 0.036 Pr
0.734 0.701 0.467 Pr
0.762 0.298 0.523 Pr
0.762 0.298 0.036 Pr
0.500 0.500 0.000 Pt
0.500 0.500 0.500 Pt
0.000 0.500 0.500 Pt
0.000 0.500 0.000 Au
0.500 0.000 0.000 Br
0.500 0.000 0.500 Br
0.000 0.000 0.000 Br
0.000 0.000 0.500 Br
```

Computed properties:
formation energy (no corrections): -1168 meV/atom
total magnetic moment: 0.00 μB per formula unit

---

A plane-wave DFT calculation with PBE was carried out for a relaxed structure of Pr8Rh3AuBr4.

```
Pr8Rh3AuBr4
1.0
8.434 0.000 0.000
0.000 9.216 0.549
-4.217 -4.218 5.961
Pr Rh Au Br
8 3 1 4
Direct
0.239 0.698 0.959 Pr
0.239 0.698 0.479 Pr
0.267 0.301 0.534 Pr
0.720 0.698 0.959 Pr
0.280 0.302 0.041 Pr
0.733 0.699 0.466 Pr
0.761 0.302 0.521 Pr
0.761 0.302 0.041 Pr
0.500 0.500 0.000 Rh
0.500 0.500 0.500 Rh
0.000 0.500 0.500 Rh
0.000 0.500 0.000 Au
0.500 0.000 0.000 Br
0.500 0.000 0.500 Br
0.000 0.000 0.000 Br
0.000 0.000 0.500 Br
```

Computed properties:
formation energy (no corrections): -1041 meV/atom
total magnetic moment: 0.00 μB per formula unit

---

A plane-wave DFT calculation with PBE was carried out for a relaxed structure of Pr8Ru3AuBr4.

```
Pr8Ru3AuBr4
1.0
-0.245 -7.239 4.174
6.744 2.997 5.594
-6.858 4.753 -0.533
Pr Ru Au Br
8 3 1 4
Direct
0.242 0.698 0.956 Pr
0.242 0.698 0.484 Pr
0.266 0.299 0.533 Pr
0.714 0.698 0.956 Pr
0.286 0.302 0.044 Pr
0.734 0.701 0.467 Pr
0.758 0.302 0.516 Pr
0.758 0.302 0.044 Pr
0.500 0.500 0.000 Ru
0.500 0.500 0.500 Ru
0.000 0.500 0.500 Ru
0.000 0.500 0.000 Au
0.500 0.000 0.000 Br
0.500 0.000 0.500 Br
0.000 0.000 0.000 Br
0.000 0.000 0.500 Br
```

Computed properties:
formation energy (no corrections): -850 meV/atom
total magnetic moment: 0.00 μB per formula unit

---

A plane-wave DFT calculation with PBE was carried out for a relaxed structure of Pr6AuS2Br3.

```
Pr6AuS2Br3
1.0
7.135 0.002 0.008
-3.564 6.181 0.008
-1.183 -2.048 7.637
Pr Au S Br
6 1 2 3
Direct
0.930 0.579 0.788 Pr
0.719 0.719 0.209 Pr
0.070 0.421 0.212 Pr
0.579 0.930 0.788 Pr
0.281 0.281 0.791 Pr
0.421 0.070 0.212 Pr
0.000 0.000 0.000 Au
0.333 0.667 0.000 S
0.667 0.333 0.000 S
0.160 0.840 0.500 Br
0.840 0.160 0.500 Br
0.500 0.500 0.500 Br
```

Computed properties:
formation energy (no corrections): -1401 meV/atom
total magnetic moment: 0.00 μB per formula unit

---

A plane-wave DFT calculation with PBE was carried out for a relaxed structure of Pr4AuSBr2.

```
Pr4AuSBr2
1.0
4.164 0.000 0.000
0.000 7.301 0.094
0.000 -2.593 7.549
Pr Au S Br
4 1 1 2
Direct
0.500 0.249 0.215 Pr
0.500 0.751 0.785 Pr
0.000 0.281 0.790 Pr
0.000 0.719 0.210 Pr
0.000 0.000 0.000 Au
0.500 0.500 0.000 S
0.500 0.000 0.500 Br
0.000 0.500 0.500 Br
```

Computed properties:
formation energy (no corrections): -1288 meV/atom
total magnetic moment: 0.00 μB per formula unit

---

A plane-wave DFT calculation with PBE was carried out for a relaxed structure of Pr6AuSe2Br3.

```
Pr6AuSe2Br3
1.0
7.356 0.004 0.008
-3.673 6.374 0.008
-1.221 -2.113 7.475
Pr Au Se Br
6 1 2 3
Direct
0.928 0.589 0.781 Pr
0.735 0.735 0.218 Pr
0.072 0.411 0.219 Pr
0.589 0.928 0.781 Pr
0.265 0.265 0.782 Pr
0.411 0.072 0.219 Pr
0.000 0.000 0.000 Au
0.333 0.667 0.000 Se
0.667 0.333 0.000 Se
0.164 0.836 0.500 Br
0.836 0.164 0.500 Br
0.500 0.500 0.500 Br
```

Computed properties:
formation energy (no corrections): -1321 meV/atom
total magnetic moment: 0.00 μB per formula unit

---

A plane-wave DFT calculation with PBE was carried out for a relaxed structure of Pr4SiAuBr2.

```
Pr4SiAuBr2
1.0
4.263 0.000 0.000
0.000 7.706 0.244
0.000 -2.581 7.128
Pr Si Au Br
4 1 1 2
Direct
0.500 0.231 0.223 Pr
0.500 0.769 0.777 Pr
0.000 0.256 0.778 Pr
0.000 0.744 0.222 Pr
0.000 0.000 0.000 Si
0.500 0.500 0.000 Au
0.500 0.000 0.500 Br
0.000 0.500 0.500 Br
```

Computed properties:
formation energy (no corrections): -1006 meV/atom
total magnetic moment: 0.00 μB per formula unit

---

A plane-wave DFT calculation with PBE was carried out for a relaxed structure of Pr4Te2AuBr.

```
Pr4Te2AuBr
1.0
4.301 0.000 0.000
0.000 7.850 -0.281
0.000 2.647 7.288
Pr Te Au Br
4 2 1 1
Direct
0.000 0.744 0.742 Pr
0.000 0.256 0.258 Pr
0.500 0.732 0.268 Pr
0.500 0.268 0.732 Pr
0.000 0.000 0.000 Te
0.500 0.000 0.500 Te
0.000 0.500 0.500 Au
0.500 0.500 0.000 Br
```

Computed properties:
formation energy (no corrections): -1219 meV/atom
total magnetic moment: 0.00 μB per formula unit

---

A plane-wave DFT calculation with PBE was carried out for a relaxed structure of PtAu2Br.

```
PtAu2Br
1.0
-4.744 3.670 -5.121
-3.948 -6.728 -1.165
-6.019 -0.894 -1.138
Au Br Pt
4 2 2
Direct
0.651 0.125 0.250 Au
0.099 0.625 0.250 Au
0.375 0.349 0.750 Au
0.875 0.901 0.750 Au
0.500 0.500 0.000 Br
0.250 0.750 0.500 Br
0.000 0.000 0.000 Pt
0.750 0.250 0.500 Pt
```

Computed properties:
formation energy (no corrections): 424 meV/atom
total magnetic moment: 0.00 μB per formula unit

---

A plane-wave DFT calculation with PBE was carried out for a relaxed structure of PtAu2Br.

```
PtAu2Br
1.0
-2.075 2.142 0.558
-2.668 -1.698 -3.405
-2.469 -3.326 3.593
Au Br Pt
2 1 1
Direct
0.000 0.000 0.000 Au
0.500 0.500 0.000 Au
0.500 0.000 0.500 Br
0.000 0.500 0.500 Pt
```

Computed properties:
formation energy (no corrections): 469 meV/atom
total magnetic moment: 0.00 μB per formula unit

---

A plane-wave DFT calculation with PBE was carried out for a relaxed structure of PtAu2Br.

```
PtAu2Br
1.0
3.604 0.000 0.000
0.000 5.068 0.113
0.000 2.089 4.629
Au Br Pt
2 1 1
Direct
0.000 0.983 0.983 Au
0.000 0.517 0.517 Au
0.500 0.250 0.250 Br
0.500 0.750 0.750 Pt
```

Computed properties:
formation energy (no corrections): 314 meV/atom
total magnetic moment: 0.00 μB per formula unit

---

A plane-wave DFT calculation with PBE was carried out for a relaxed structure of PtAu2Br.

```
PtAu2Br
1.0
-2.864 1.107 -0.661
-1.403 -1.782 3.091
-0.049 4.119 7.110
Au Pt Br
2 1 1
Direct
0.000 0.888 0.987 Au
0.500 0.185 0.190 Au
0.500 0.570 0.805 Pt
0.000 0.857 0.518 Br
```

Computed properties:
formation energy (no corrections): 223 meV/atom
total magnetic moment: 0.00 μB per formula unit

---

A plane-wave DFT calculation with PBE was carried out for a relaxed structure of PtAuBr4.

```
PtAuBr4
1.0
3.490 1.967 4.462
1.862 5.700 0.060
-2.196 3.829 4.059
Pt Au Br
1 1 4
Direct
0.750 0.750 0.750 Pt
0.000 0.000 0.000 Au
0.875 0.375 0.375 Br
0.375 0.375 0.875 Br
0.375 0.875 0.375 Br
0.375 0.375 0.375 Br
```

Computed properties:
formation energy (no corrections): 1237 meV/atom
total magnetic moment: 0.00 μB per formula unit

---

A plane-wave DFT calculation with PBE was carried out for a relaxed structure of Pt3AuBr.

```
Pt3AuBr
1.0
4.717 0.000 0.000
0.000 4.717 0.000
0.000 0.000 4.717
Au Br Pt
1 1 3
Direct
0.500 0.500 0.500 Au
0.000 0.000 0.000 Br
0.000 0.500 0.000 Pt
0.000 0.000 0.500 Pt
0.500 0.000 0.000 Pt
```

Computed properties:
formation energy (no corrections): 1149 meV/atom
total magnetic moment: 0.00 μB per formula unit

---

A plane-wave DFT calculation with PBE was carried out for a relaxed structure of PtAu2Br.

```
PtAu2Br
1.0
4.745 0.000 0.000
2.373 4.110 0.000
2.373 1.370 3.875
Au Br Pt
2 1 1
Direct
0.000 0.000 0.000 Au
0.250 0.250 0.250 Au
0.500 0.500 0.500 Br
0.750 0.750 0.750 Pt
```

Computed properties:
formation energy (no corrections): 516 meV/atom
total magnetic moment: 0.00 μB per formula unit

---

A plane-wave DFT calculation with PBE was carried out for a relaxed structure of PtAu2Br.

```
PtAu2Br
1.0
-3.924 -2.815 2.934
-1.098 -5.433 -1.098
4.447 3.358 0.937
Au Br Pt
2 1 1
Direct
0.000 0.000 0.000 Au
0.500 0.500 0.000 Au
0.250 0.750 0.500 Br
0.750 0.250 0.500 Pt
```

Computed properties:
formation energy (no corrections): 507 meV/atom
total magnetic moment: 0.00 μB per formula unit

---

A plane-wave DFT calculation with PBE was carried out for a relaxed structure of PtAu2Br.

```
PtAu2Br
1.0
3.319 0.000 0.000
0.000 3.308 0.000
0.000 0.000 7.232
Au Br Pt
2 1 1
Direct
0.000 0.000 0.963 Au
0.000 0.000 0.537 Au
0.500 0.500 0.250 Br
0.500 0.500 0.750 Pt
```

Computed properties:
formation energy (no corrections): 330 meV/atom
total magnetic moment: 0.00 μB per formula unit

---

A plane-wave DFT calculation with PBE was carried out for a relaxed structure of PtAu2Br.

```
PtAu2Br
1.0
-2.410 -0.408 1.553
0.049 -0.977 -2.726
3.734 -9.221 3.371
Au Br Pt
2 1 1
Direct
0.000 0.000 0.976 Au
0.000 0.000 0.524 Au
0.500 0.500 0.250 Br
0.500 0.500 0.750 Pt
```

Computed properties:
formation energy (no corrections): 327 meV/atom
total magnetic moment: 0.00 μB per formula unit